[1]
# Na3Tl4AgI8

Na3Tl4AgI8 after structural relaxation (GGA-PBE, the Alexandria database).

SG: C2/m
Formation energy without anion corrections in eV/atom: -0.81
D(E_F) in states/eV/cell: 0.0
Electronic total energy in eV per formula unit: -41.63

The structure in POSCAR format:
```
Na3Tl4AgI8
1.0
9.4255 0.0000 0.0000
0.0000 9.6675 0.1455
-4.7127 -4.7189 6.6838
Na Tl Ag I
3 4 1 8
direct
0.5000 0.5000 0.0000
0.5000 0.5000 0.5000
0.0000 0.5000 0.5000
0.5000 0.0000 0.0000
0.5000 0.0000 0.5000
0.0000 0.0000 0.0000
0.0000 0.0000 0.5000
0.0000 0.5000 0.0000
0.2344 0.7175 0.9833
0.2356 0.7186 0.4712
0.2590 0.2772 0.5181
0.7489 0.7175 0.9833
0.2511 0.2825 0.0167
0.7410 0.7228 0.4819
0.7644 0.2814 0.5288
0.7656 0.2825 0.0167
```

[2]
# Gd2CuP

Gd2CuP after structural relaxation (GGA-PBE, the Alexandria database).

SG: R-3m
ΔE to the lowest computed polymorph in meV/atom: 0
Calculated formation energy in meV/atom: -771
D(E_F) in states/eV/cell: 2.7
Electronic total energy in eV per formula unit: -40.75

The structure in POSCAR format:
```
Gd2CuP
1.0
-3.0390 -2.0675 -1.5909
0.6017 -2.2641 -3.2485
0.7417 -6.8482 2.4414
P Gd Cu
1 2 1
direct
0.0000 0.0000 0.0000
0.2558 0.2558 0.2327
0.7442 0.7442 0.7673
0.5000 0.5000 0.5000
```

[3]
# PrSnS4

PrSnS4 after structural relaxation (GGA-PBE, the Alexandria database).

SG: P2_1/c
Formation energy without anion corrections in eV/atom: -0.77
D(E_F) in states/eV/cell: 6.1
Electronic total energy in eV per formula unit: -29.91

The structure in POSCAR format:
```
PrSnS4
1.0
7.0488 0.0000 -0.3098
0.0000 7.0318 0.0000
-0.4400 0.0000 6.0131
Pr Sn S
2 2 8
direct
0.0000 0.0000 0.0000
0.5000 0.5000 0.0000
0.5000 0.0000 0.5000
0.0000 0.5000 0.5000
0.8615 0.6591 0.1560
0.6385 0.1591 0.8440
0.2557 0.2886 0.3133
0.2443 0.7886 0.6867
0.1385 0.3409 0.8440
0.3615 0.8409 0.1560
0.7443 0.7114 0.6867
0.7557 0.2114 0.3133
```

[4]
# CeDy2HoEr4

CeDy2HoEr4 after structural relaxation (GGA-PBE, the Alexandria database).

SG: C2/m
Calculated formation energy in meV/atom: 45
D(E_F) in states/eV/cell: 13.7
Electronic total energy in eV per formula unit: -37.61

The structure in POSCAR format:
```
CeDy2HoEr4
1.0
-0.6019 -1.3009 -5.9062
-4.4124 -7.1350 4.0480
-5.4564 -0.2954 2.6542
Ce Dy Ho Er
1 2 1 4
direct
0.0000 0.5000 0.5000
0.0000 0.0000 0.0000
0.5000 0.0000 0.5000
0.5000 0.5000 0.0000
0.0003 0.7481 0.7519
0.9997 0.2519 0.2481
0.5002 0.2519 0.7479
0.4998 0.7481 0.2521
```

[5]
# NaAs2Pt6

NaAs2Pt6 after structural relaxation (GGA-PBE, the Alexandria database).

SG: P4/mmm
Calculated formation energy in meV/atom: -249
D(E_F) in states/eV/cell: 6.8
Electronic total energy in eV per formula unit: -49.10

The structure in POSCAR format:
```
NaAs2Pt6
1.0
-2.8292 -2.7731 0.5201
0.6330 0.0939 3.9440
-7.0326 7.3538 0.9536
Na As Pt
1 2 6
direct
0.0000 0.0000 0.0000
0.5000 0.5000 0.1540
0.5000 0.5000 0.8460
0.0000 0.5000 0.2989
0.5000 0.0000 0.2989
0.0000 0.5000 0.7011
0.5000 0.0000 0.7011
0.5000 0.5000 0.5000
0.0000 0.0000 0.5000
```

[6]
# AlIr2Se

AlIr2Se after structural relaxation (GGA-PBE, the Alexandria database).

SG: Cmmm
Formation energy without anion corrections in eV/atom: -0.08
ΔE to the lowest computed polymorph in meV/atom: 100
D(E_F) in states/eV/cell: 1.3
Electronic total energy in eV per formula unit: -25.26

The structure in POSCAR format:
```
AlIr2Se
1.0
-3.7889 0.3062 2.4980
2.5901 -2.4846 2.7942
1.0248 2.4751 1.2509
Ir Al Se
2 1 1
direct
0.0000 0.0000 0.0000
0.5000 0.5000 0.0000
0.0000 0.5000 0.5000
0.5000 0.0000 0.5000
```